Crystalline Ce2BeAu at its relaxed geometry, computed with GGA-PBE.

Geometry as POSCAR:
```
Ce2BeAu
1.0
3.668 0.000 0.000
0.000 3.668 0.000
0.000 0.000 6.540
Ce Be Au
2 1 1
Cartesian
0.000 0.000 1.385
0.000 0.000 5.155
1.834 1.834 0.000
1.834 1.834 3.270
```

Calculated values
Its polymorph energy (0 for the lowest one) is 0 meV/atom. The value obtained for the calculated density is 9175 kg/m3. Its energy relative to the elements is -0.20 eV/atom. The calculation puts the total magnetization at 1.5 μB per cell. The space group is No. 123.

Crystalline BeH12C4Br3N at its relaxed geometry, computed with GGA-PBE.

Geometry as POSCAR:
```
BeH12C4Br3N
1.0
8.281 0.000 0.000
-0.673 8.422 0.000
-1.197 -3.221 17.922
Be H C Br N
4 48 16 12 4
Cartesian
0.000 0.000 0.000
1.073 7.590 2.324
3.218 1.705 10.843
5.479 2.264 8.883
-0.482 6.800 7.481
-0.904 5.691 14.210
-0.608 5.196 12.523
-0.002 -1.502 12.934
-0.322 1.225 15.568
0.316 4.551 6.599
0.039 -0.062 17.632
0.356 5.023 9.027
1.374 -0.762 6.470
0.416 2.625 16.382
1.352 -0.488 8.225
0.951 -1.019 15.470
1.492 5.372 5.545
1.052 2.069 14.815
2.082 4.367 0.539
1.434 6.139 9.710
2.045 4.115 6.675
2.749 2.845 0.304
1.977 4.640 9.165
2.273 -0.165 14.648
2.613 -1.116 16.114
3.203 7.009 6.607
3.711 3.179 4.845
2.752 2.405 17.435
3.836 -1.106 8.351
4.073 2.533 2.432
3.725 5.735 7.731
3.405 1.866 15.880
4.604 0.929 4.173
3.640 0.857 17.314
4.738 4.603 4.603
4.525 -1.472 13.604
4.127 4.463 12.986
5.138 3.942 2.179
4.275 6.299 11.242
5.118 3.472 5.920
5.731 2.318 1.775
5.842 1.166 5.308
6.220 0.739 3.718
5.294 4.356 14.225
5.779 -1.693 14.869
5.615 3.857 12.642
5.971 -0.454 13.607
5.799 5.500 10.758
6.446 -1.188 11.148
7.205 4.258 3.744
7.480 3.074 5.043
7.743 2.619 3.337
-1.113 5.939 13.159
1.224 -1.248 7.442
0.630 1.736 15.773
1.339 4.947 6.546
1.561 6.038 7.591
1.624 0.804 16.462
1.879 -0.454 15.631
2.999 6.548 7.582
2.927 1.522 16.804
4.747 3.542 4.888
5.113 2.887 2.483
5.641 2.777 3.913
5.606 -1.470 13.807
5.358 6.255 11.422
5.663 5.973 12.889
7.105 3.200 4.018
2.262 0.016 0.288
1.840 5.605 2.535
2.299 0.498 3.926
2.426 -0.242 11.249
2.262 3.303 11.959
3.224 2.249 8.641
5.505 1.762 11.096
6.379 0.765 7.646
6.334 4.199 8.489
5.809 3.786 16.434
6.348 -1.224 17.608
7.079 7.630 2.077
0.989 0.360 17.777
1.318 5.414 8.973
5.576 1.297 4.305
5.138 4.577 13.213
```

Calculated values
The value obtained for the calculated density is 1716 kg/m3. The final energy is -411.65 eV per cell. The calculation puts the total magnetization at 0.1 μB per cell. The space group is No. 1.

Crystalline SrYRe2 at its relaxed geometry, computed with GGA-PBE.

Geometry as POSCAR:
```
SrYRe2
1.0
3.145 0.000 0.000
0.000 4.012 0.000
-0.573 0.000 8.270
Sr Y Re
1 1 2
Cartesian
0.000 0.000 0.000
1.909 2.006 3.304
0.118 0.000 5.154
1.230 2.006 5.983
```

Calculated values
Its polymorph energy (0 for the lowest one) is 217 meV/atom. The value obtained for the calculated density is 8736 kg/m3. Its energy relative to the elements is 0.46 eV/atom. The calculation puts the total magnetization at 0.0 μB per cell. The space group is No. 6.

Crystalline Dy7Ga2Sb2 at its relaxed geometry, computed with GGA-PBE.

Geometry as POSCAR:
```
Dy7Ga2Sb2
1.0
3.870 -5.377 0.000
3.870 5.377 0.000
0.000 0.000 7.710
Dy Ga Sb
7 2 2
Cartesian
0.000 0.000 0.000
1.935 2.688 2.256
1.935 2.688 5.455
1.935 -2.688 2.256
1.935 -2.688 5.455
3.870 0.000 2.177
3.870 0.000 5.534
1.300 0.000 3.855
6.439 0.000 3.855
3.870 2.184 0.000
3.870 -2.184 0.000
```

Calculated values
Its energy relative to the elements, uncorrected is -0.33 eV/atom. The value obtained for the calculated density is 7869 kg/m3. The calculation puts the total magnetization at 0.0 μB per cell. The space group is No. 65.

Crystalline Tm2Bi3 at its relaxed geometry, computed with GGA-PBE.

Geometry as POSCAR:
```
Tm2Bi3
1.0
1.982 1.144 11.803
-1.982 1.144 11.803
0.000 -2.289 11.803
Tm Bi
2 3
Cartesian
0.000 0.000 3.835
0.000 0.000 31.574
0.000 0.000 10.262
0.000 0.000 17.704
0.000 0.000 25.146
```

Calculated values
The value obtained for the calculated density is 9976 kg/m3. Its energy relative to the elements is -0.33 eV/atom. The calculation puts the total magnetization at 0.0 μB per cell. The space group is No. 166.

Crystalline Cu12Te3H5 at its relaxed geometry, computed with GGA-PBE.

Geometry as POSCAR:
```
Cu12Te3H5
1.0
-6.337 6.337 6.337
6.337 -6.337 6.337
6.337 6.337 -6.337
Cu Te H
48 12 20
Cartesian
4.928 -3.704 3.864
10.915 0.695 -0.536
8.969 2.473 -1.409
6.873 -4.578 5.642
3.864 4.928 -3.704
5.642 -0.536 1.759
8.096 0.695 0.536
7.746 -2.633 3.864
5.642 6.873 -4.578
3.864 -1.409 3.704
3.704 3.864 -1.409
5.801 1.759 0.695
5.801 -1.759 5.642
10.041 2.473 1.409
5.642 5.801 -1.759
3.864 1.409 2.633
1.759 5.642 -0.536
3.864 7.746 -2.633
5.642 0.536 4.578
7.746 2.633 2.473
2.633 3.864 1.409
6.873 4.578 0.695
4.578 5.642 0.536
4.928 3.704 2.473
1.409 2.633 3.864
1.759 0.695 5.801
-0.536 1.759 5.642
3.704 2.473 4.928
-1.409 3.704 3.864
0.695 5.801 1.759
2.473 -1.409 8.969
4.578 0.695 6.873
2.473 4.928 3.704
0.695 0.536 8.096
-3.704 3.864 4.928
0.536 8.096 0.695
0.536 4.578 5.642
2.633 2.473 7.746
2.473 7.746 2.633
0.695 -0.536 10.915
-1.409 8.969 2.473
-1.759 5.642 5.801
0.695 6.873 4.578
2.473 1.409 10.041
-0.536 10.915 0.695
-2.633 3.864 7.746
-4.578 5.642 6.873
1.409 10.041 2.473
3.168 1.584 0.000
6.337 3.168 -1.584
1.584 0.000 3.168
7.921 0.000 3.168
0.000 3.168 1.584
3.168 -1.584 6.337
3.168 7.921 0.000
6.337 3.168 4.753
-1.584 6.337 3.168
4.753 6.337 3.168
0.000 3.168 7.921
3.168 4.753 6.337
0.000 0.000 0.000
3.168 3.168 -3.168
3.168 -3.168 3.168
6.337 0.000 0.000
9.505 1.584 0.000
6.337 -3.168 4.753
4.753 6.337 -3.168
4.753 0.000 3.168
3.168 4.753 0.000
6.337 3.168 1.584
-3.168 3.168 3.168
0.000 6.337 0.000
0.000 0.000 6.337
3.168 3.168 3.168
0.000 3.168 4.753
3.168 1.584 6.337
1.584 6.337 3.168
1.584 0.000 9.505
0.000 9.505 1.584
-3.168 4.753 6.337
```

Calculated values
The value obtained for the calculated density is 7507 kg/m3. The final energy is -286.27 eV per cell. The calculation puts the total magnetization at 0.0 μB per cell. The space group is No. 230.

Q: Among the records above, which one has the highest total magnetization?
A: Ce2BeAu

Q: Which of these has the highest total magnetization?
A: Ce2BeAu

Q: What is the calculated density in the fifth record?
A: 9976 kg/m3